# 1
Sr5Ca7: relaxed, GGA-PBE.

Output
For the formation energy, the calculation gives 0.108 eV/atom.

Geometry as POSCAR:
```
Sr5Ca7
1.0
5.9384 -3.3015 0.0000
5.9384 3.3015 0.0000
-0.0810 0.0000 14.8522
Sr Ca
5 7
Cartesian
0.0000 0.0000 0.0000
1.9882 0.0000 6.9849
3.8083 0.0000 2.9715
7.9875 0.0000 11.8807
9.8077 0.0000 7.8673
0.1727 0.0000 10.9098
3.8478 0.0000 13.9117
3.9729 0.0000 10.3895
5.8979 0.0000 7.4261
7.8230 0.0000 4.4627
7.9480 0.0000 0.9405
11.6232 0.0000 3.9425
```

---

# 2
Sr2Ca: relaxed, GGA-PBE.

Output
For the formation energy, the calculation gives 0.058 eV/atom.

Geometry as POSCAR:
```
Sr2Ca
1.0
6.6579 0.0000 0.0000
-3.3290 5.7659 0.0000
0.0000 0.0000 7.9520
Sr Ca
4 2
Cartesian
0.0000 0.0000 0.0000
0.0000 0.0000 3.9760
0.0000 3.8440 1.9880
3.3290 1.9220 5.9640
0.0000 3.8440 5.9640
3.3290 1.9220 1.9880
```

---

# 3
Sr3Ca: relaxed, GGA-PBE.

Output
For the formation energy, the calculation gives 0.010 eV/atom.

Geometry as POSCAR:
```
Sr3Ca
1.0
4.2200 0.0000 0.0000
0.0000 5.7753 0.0000
0.0000 0.0000 8.4171
Sr Ca
3 1
Cartesian
0.0000 0.0000 0.0000
2.1100 2.8876 2.1722
2.1100 2.8876 6.2449
0.0000 0.0000 4.2086
```